First-principles (PBEsol) data for a relaxed InCoNi2 crystal, as listed in Alexandria via LeMat-Bulk.

The space group is R3m (No. 160, hexagonal axes) and the conventional cell measures 2.7442, 2.7442 and 24.0594 Å, with angles of 90.00, 90.00 and 120.00 degrees. Symmetry generates all atoms from In at (0.0000, 0.0000, 0.0000), Co at (0.0000, 0.0000, 0.7582), Ni at (0.0000, 0.0000, 0.2443) and Ni at (0.0000, 0.0000, 0.5000).

The formation energy comes out at 137 kJ/mol of formula units. Its total energy is -5.40 eV/atom. The calculation puts the density of states at the Fermi level at 1.365 states/eV per atom. The value obtained for the spin magnetization is 7.22 Bohr magnetons per cell.



First-principles (PBEsol) data for a relaxed InCoNi2 crystal, as listed in Alexandria via LeMat-Bulk.

The space group is Cmmm (No. 65) and the conventional cell measures 5.303, 6.897 and 2.765 Å, with angles of 90.00, 90.00 and 90.00 degrees. Symmetry generates all atoms from In at (0.000, 0.000, 0.000), Co at (0.000, 0.500, 0.000) and Ni at (0.250, 0.250, 0.500).

The formation energy comes out at 46 kJ/mol of formula units. Its total energy is -5.64 eV/atom. The calculation puts the density of states at the Fermi level at 1.195 states/eV per atom. The value obtained for the spin magnetization is 4.00 Bohr magnetons per cell.



First-principles (PBEsol) data for a relaxed InCoNi2 crystal, as listed in Alexandria via LeMat-Bulk.

The space group is C2/m (No. 12) and the conventional cell measures 8.402, 2.800 and 4.410 Å, with angles of 90.00, 103.29 and 90.00 degrees. Symmetry generates all atoms from In at (0.000, 0.000, 0.000), Co at (0.000, 0.500, 0.500) and Ni at (0.242, 0.000, 0.721).

The formation energy comes out at 43 kJ/mol of formula units. Its total energy is -5.65 eV/atom. The calculation puts the density of states at the Fermi level at 1.229 states/eV per atom. The value obtained for the spin magnetization is 3.38 Bohr magnetons per cell.



First-principles (PBEsol) data for a relaxed InCoNiTe2 crystal, as listed in Alexandria via LeMat-Bulk.

The space group is P4/mmm (No. 123) and the conventional cell measures 4.979, 4.979 and 4.410 Å, with angles of 90.00, 90.00 and 90.00 degrees. Symmetry generates all atoms from In at (0.000, 0.000, 0.000), Co at (0.500, 0.500, 0.500), Ni at (0.500, 0.500, 0.000) and Te at (0.000, 0.500, 0.500).

Its total energy is -4.33 eV/atom. The calculation puts the density of states at the Fermi level at 1.079 states/eV per atom. The value obtained for the spin magnetization is 1.84 Bohr magnetons per cell. The formation energy (no corrections) is 0.45 eV/atom.



First-principles (PBEsol) data for a relaxed In2Co2O7 crystal, as listed in Alexandria via LeMat-Bulk.

The space group is Fd-3m (No. 227, origin choice 2) and the conventional cell measures 9.596, 9.596 and 9.596 Å, with angles of 90.00, 90.00 and 90.00 degrees. Symmetry generates all atoms from In at (0.000, 0.000, 0.000), Co at (0.000, 0.000, 0.500), O at (0.078, 0.375, 0.875) and O at (0.125, 0.125, 0.125).

Its total energy is -6.54 eV/atom. The calculation puts the density of states at the Fermi level at 0.522 states/eV per atom. The value obtained for the spin magnetization is 16.07 Bohr magnetons per cell. The formation energy (no corrections) is -1.25 eV/atom.



First-principles (PBEsol) data for a relaxed InCoP2O crystal, as listed in Alexandria via LeMat-Bulk.

The space group is P4/mmm (No. 123) and the conventional cell measures 4.724, 4.724 and 3.379 Å, with angles of 90.00, 90.00 and 90.00 degrees. Symmetry generates all atoms from In at (0.000, 0.000, 0.000), Co at (0.500, 0.500, 0.500), P at (0.000, 0.500, 0.500) and O at (0.500, 0.500, 0.000).

Its total energy is -5.55 eV/atom. The calculation puts the density of states at the Fermi level at 0.723 states/eV per atom. The value obtained for the spin magnetization is 0.00 Bohr magnetons per cell. The formation energy (no corrections) is -0.04 eV/atom.



First-principles (PBEsol) data for a relaxed InCoOs crystal, as listed in Alexandria via LeMat-Bulk.

The space group is P3m1 (No. 156) and the conventional cell measures 2.8061, 2.8061 and 6.4048 Å, with angles of 90.00, 90.00 and 120.00 degrees. Symmetry generates all atoms from In at (0.0000, 0.0000, 0.0000), Co at (0.6667, 0.3333, 0.3351) and Os at (0.3333, 0.6667, 0.6251).

The formation energy comes out at 120 kJ/mol of formula units. Its total energy is -7.23 eV/atom. The calculation puts the density of states at the Fermi level at 0.920 states/eV per atom. The value obtained for the spin magnetization is 0.24 Bohr magnetons per cell.



First-principles (PBEsol) data for a relaxed InCoOs2 crystal, as listed in Alexandria via LeMat-Bulk.

The space group is Cmm2 (No. 35) and the conventional cell measures 2.812, 4.725 and 8.889 Å, with angles of 90.00, 90.00 and 90.00 degrees. Symmetry generates all atoms from In at (0.000, 0.000, 0.000), Co at (0.000, 0.500, 0.752), Os at (0.000, 0.000, 0.523) and Os at (0.000, 0.500, 0.275).

The formation energy comes out at 263 kJ/mol of formula units. Its total energy is -8.11 eV/atom. The calculation puts the density of states at the Fermi level at 1.343 states/eV per atom. The value obtained for the spin magnetization is 3.48 Bohr magnetons per cell.